(1)
Density functional theory data (PBE) for crystalline GaB6N6 at its relaxed geometry.

Geometry as POSCAR:
```
GaB6N6
1.0
-1.6092 3.5427 -2.4412
-2.2544 -2.9142 -2.7432
-3.6645 0.2371 2.7596
Ga B N
1 6 6
Direct
0.5000 0.5000 0.5000
0.2529 0.0000 0.5000
0.0000 0.5000 0.2529
0.5000 0.7471 0.0000
0.7471 0.0000 0.5000
0.0000 0.5000 0.7471
0.5000 0.2529 0.0000
0.0000 0.2462 0.5000
0.0000 0.7538 0.5000
0.5000 0.0000 0.7538
0.7538 0.5000 0.0000
0.5000 0.0000 0.2462
0.2462 0.5000 0.0000
```

E_form (uncorrected): -28.58 kJ/mol of atoms
Crystal system: cubic

=====

(2)
Density functional theory data (PBE) for crystalline Be2IrPt at its relaxed geometry.

Geometry as POSCAR:
```
Be2IrPt
1.0
-3.9862 -2.8062 1.0005
0.0122 -3.5610 3.4763
0.6958 4.8096 -1.0721
Be Ir Pt
2 1 1
Direct
0.9979 0.9979 0.0000
0.7510 0.2510 0.5000
0.5103 0.5103 0.0000
0.2408 0.7408 0.5000
```

Offset from the most stable computed form: 325 meV per atom
Crystal system: orthorhombic
Energy of formation: -0.39 eV/atom

=====

(3)
Density functional theory data (PBE) for crystalline Be2OsF at its relaxed geometry.

Geometry as POSCAR:
```
Be2OsF
1.0
-5.1194 -0.7387 0.2041
0.4831 -4.1808 -3.0138
-1.9560 -4.2626 1.1541
Be Os F
4 2 2
Direct
0.5331 0.1250 0.2500
0.2169 0.6250 0.2500
0.3750 0.4669 0.7500
0.8750 0.7831 0.7500
0.0000 0.0000 0.0000
0.7500 0.2500 0.5000
0.5000 0.5000 0.0000
0.2500 0.7500 0.5000
```

Offset from the most stable computed form: 0 meV per atom
E_form (uncorrected): -23.68 kJ/mol of atoms
Crystal system: tetragonal

=====

(4)
Density functional theory data (PBE) for crystalline TbDyTi4 at its relaxed geometry.

Geometry as POSCAR:
```
TbDyTi4
1.0
-0.5768 4.6411 -3.4561
-4.1166 0.0734 -4.1067
-4.6134 3.4942 0.5697
Ti Tb Dy
4 1 1
Direct
0.6249 0.6249 0.1254
0.6249 0.1254 0.6249
0.6249 0.6249 0.6249
0.1254 0.6249 0.6249
0.0000 0.0000 0.0000
0.2500 0.2500 0.2500
```

Crystal system: cubic
Energy of formation: 0.25 eV/atom

=====

(5)
Density functional theory data (PBE) for crystalline U2Al2Fe3 at its relaxed geometry.

Geometry as POSCAR:
```
U2Al2Fe3
1.0
4.2906 0.0000 0.0000
0.0000 4.7197 0.2474
-2.1453 -0.9936 5.6967
U Al Fe
2 2 3
Direct
0.1477 0.3653 0.2955
0.8523 0.6347 0.7045
0.4103 0.1506 0.8206
0.5897 0.8494 0.1794
0.0000 0.0000 0.0000
0.2050 0.8093 0.4101
0.7950 0.1907 0.5899
```

Crystal system: monoclinic
Energy of formation: -0.33 eV/atom

=====

(6)
Density functional theory data (PBE) for crystalline Rb2Be2I at its relaxed geometry.

Geometry as POSCAR:
```
Rb2Be2I
1.0
-3.5265 -5.8470 7.2272
9.2854 -2.5875 2.4374
0.1978 3.3652 2.8190
I Be Rb
2 4 4
Direct
0.0000 0.0000 0.0000
0.5000 0.5000 0.0000
0.0784 0.5784 0.5000
0.5784 0.9216 0.5000
0.9216 0.4216 0.5000
0.4216 0.0784 0.5000
0.2949 0.7949 0.0000
0.7949 0.7051 0.0000
0.7051 0.2051 0.0000
0.2051 0.2949 0.0000
```

Offset from the most stable computed form: 301 meV per atom
E_form (uncorrected): 52.64 kJ/mol of atoms
Crystal system: tetragonal

=====

(7)
Density functional theory data (PBE) for crystalline CaPSe at its relaxed geometry.

Geometry as POSCAR:
```
CaPSe
1.0
-0.2419 -2.3966 2.8479
2.8144 2.4434 -0.1474
-3.2553 3.9325 3.0329
Ca P Se
1 1 1
Direct
0.0000 0.0000 0.9989
0.3333 0.6667 0.3491
0.6667 0.3333 0.6520
```

E_form (uncorrected): -13.23 kJ/mol of atoms
Crystal system: trigonal

=====

(8)
Density functional theory data (PBE) for crystalline CoTcMo at its relaxed geometry.

Geometry as POSCAR:
```
CoTcMo
1.0
-1.5707 -2.7903 -2.8929
0.1556 -1.0795 4.1752
-2.3926 0.9892 0.3449
Co Mo Tc
1 1 1
Direct
0.0000 0.0000 0.0220
0.3333 0.6667 0.3463
0.6667 0.3333 0.6318
```

Offset from the most stable computed form: 62 meV per atom
Crystal system: trigonal
Energy of formation: 0.15 eV/atom

=====

(9)
Density functional theory data (PBE) for crystalline CsNaGa2Au at its relaxed geometry.

Geometry as POSCAR:
```
CsNaGa2Au
1.0
-0.3447 3.0615 4.0952
-5.0985 -0.5163 -0.0432
0.4405 -4.6431 3.5082
Cs Na Au Ga
1 1 1 2
Direct
0.5000 0.5000 0.5000
0.0000 0.0000 0.5000
0.0000 0.0000 0.0000
0.0000 0.5000 0.0000
0.5000 0.0000 0.0000
```

Crystal system: tetragonal
Energy of formation: -0.07 eV/atom

=====

(10)
Density functional theory data (PBE) for crystalline SmMg11Au at its relaxed geometry.

Geometry as POSCAR:
```
SmMg11Au
1.0
5.2901 -0.0420 2.2039
2.5455 7.1610 1.0605
-0.1272 -0.0210 7.7562
Sm Mg Au
1 11 1
Direct
0.0000 0.0000 0.0000
0.2980 0.2163 0.2070
0.7020 0.7837 0.7930
0.4951 0.7837 0.2070
0.5049 0.2163 0.7930
0.3555 0.6424 0.6565
0.6445 0.3576 0.3435
0.9880 0.3576 0.6565
0.0120 0.6424 0.3435
0.0000 0.5000 0.0000
0.5000 0.0000 0.5000
0.0000 0.0000 0.5000
0.5000 0.5000 0.0000
```

Crystal system: monoclinic
Energy of formation: -0.15 eV/atom